The following is a GGA-PBE calculation of Ac2Ag2RuO6 after structural relaxation, from the Alexandria database.

## Properties
formation energy (no corrections) = -1680 meV/atom
space group = C2/m (12)

a b c (Å): 6.3753 6.3753 6.4509
angles (deg): 84.41 84.41 121.42
Sites, in units of the cell vectors:
Ac 0.3364 0.6636 0.5000
Ac 0.6636 0.3364 0.5000
Ag 0.8645 0.1355 0.0000
Ag 0.1355 0.8645 0.0000
Ru 0.0000 0.0000 0.5000
O 0.6898 0.6898 0.6484
O 0.9560 0.2442 0.6723
O 0.3102 0.3102 0.3516
O 0.2442 0.9560 0.6723
O 0.0440 0.7558 0.3277
O 0.7558 0.0440 0.3277